(1)
Computed, not measured: a relaxed PmAl4S8 crystal at the PBE-GGA level of DFT.

**Fermi-level density of states**: 0.56 states/eV per atom
**Formation energy without anion corrections**: -1.02 eV per atom
**ρ**: 3.004 g/cm3
**Total magnetic moment**: 1.0 Bohr magnetons per cell

a = 7.358 Å, b = 7.358 Å, c = 7.358 Å
α = 60.00°, β = 60.00°, γ = 60.00°
Each line ends with the local moment (μB).
Fractional positions:
S (0.606, 0.606, 0.606)  0.02
Al (0.368, 0.368, 0.895)  0.00
Al (0.368, 0.368, 0.368)  0.00
Pm (0.750, 0.750, 0.750)  0.01
Al (0.895, 0.368, 0.368)  0.00
S (0.606, 0.606, 0.183)  0.02
S (0.136, 0.593, 0.136)  0.15
S (0.183, 0.606, 0.606)  0.02
S (0.593, 0.136, 0.136)  0.15
S (0.606, 0.183, 0.606)  0.02
S (0.136, 0.136, 0.593)  0.15
S (0.136, 0.136, 0.136)  0.15
Al (0.368, 0.895, 0.368)  0.00

(2)
Computed, not measured: a relaxed PmAl2S4 crystal at the PBE-GGA level of DFT.

**Fermi-level density of states**: 0.49 states/eV per atom
**Formation energy without anion corrections**: -1.11 eV per atom
**ρ**: 3.366 g/cm3
**ΔE to the lowest computed polymorph**: 115.6 meV per atom
**Total magnetic moment**: 1.0 Bohr magnetons per cell

a = 6.005 Å, b = 6.005 Å, c = 6.005 Å
α = 103.99°, β = 103.99°, γ = 121.11°
Each line ends with the local moment (μB).
Fractional positions:
S (0.848, 0.322, 0.170)  -0.01
S (0.322, 0.152, 0.474)  -0.01
S (0.678, 0.848, 0.526)  -0.01
Al (0.750, 0.250, 0.500)  0.01
S (0.152, 0.678, 0.830)  -0.01
Al (0.250, 0.750, 0.500)  0.01
Pm (0.500, 0.500, 0.000)  0.47

(3)
Computed, not measured: a relaxed Pm2ScAlS6 crystal at the PBE-GGA level of DFT.

**Fermi-level density of states**: 0.00 states/eV per atom
**Formation energy without anion corrections**: -1.78 eV per atom
**ρ**: 4.363 g/cm3
**Total magnetic moment**: 0.0 Bohr magnetons per cell

a = 6.418 Å, b = 7.018 Å, c = 9.368 Å
α = 90.00°, β = 90.41°, γ = 90.00°
Fractional positions:
Pm (0.464, 0.402, 0.253)
Pm (0.536, 0.598, 0.747)
S (0.379, 0.971, 0.741)
S (0.621, 0.029, 0.259)
S (0.175, 0.193, 0.059)
Sc (0.000, 0.500, 0.500)
Pm (0.036, 0.902, 0.247)
S (0.675, 0.307, 0.559)
S (0.811, 0.820, 0.558)
S (0.825, 0.807, 0.941)
Pm (0.964, 0.098, 0.753)
S (0.121, 0.471, 0.759)
Al (0.500, 0.000, 0.500)
S (0.311, 0.680, 0.058)
S (0.325, 0.693, 0.441)
S (0.689, 0.320, 0.942)
Sc (0.500, 0.000, 0.000)
S (0.879, 0.529, 0.241)
S (0.189, 0.180, 0.442)
Al (0.000, 0.500, 0.000)

(4)
Computed, not measured: a relaxed Tb2PmAlS6 crystal at the PBE-GGA level of DFT.

**Fermi-level density of states**: 0.00 states/eV per atom
**Formation energy without anion corrections**: -1.73 eV per atom
**ρ**: 4.717 g/cm3
**Total magnetic moment**: 0.0 Bohr magnetons per cell

a = 6.799 Å, b = 6.798 Å, c = 7.171 Å
α = 61.69°, β = 61.69°, γ = 59.99°
Fractional positions:
S (0.416, 0.688, 0.770)
Pm (0.813, 0.813, 0.560)
Al (0.321, 0.321, 0.037)
S (0.581, 0.216, 0.245)
S (0.959, 0.581, 0.245)
S (0.126, 0.416, 0.770)
S (0.688, 0.126, 0.770)
S (0.216, 0.959, 0.245)
Tb (0.019, 0.019, 0.944)
Tb (0.524, 0.524, 0.428)

(5)
Computed, not measured: a relaxed PmAlTl2S4 crystal at the PBE-GGA level of DFT.

**Fermi-level density of states**: 0.05 states/eV per atom
**Formation energy without anion corrections**: -0.97 eV per atom
**ρ**: 5.999 g/cm3
**Total magnetic moment**: 0.0 Bohr magnetons per cell

a = 8.229 Å, b = 8.229 Å, c = 8.562 Å
α = 121.35°, β = 121.35°, γ = 90.05°
Fractional positions:
S (0.758, 0.742, 0.942)
S (0.758, 0.742, 0.558)
Al (0.000, 0.000, 0.000)
S (0.242, 0.258, 0.058)
S (0.803, 0.238, 0.020)
Tl (0.500, 0.500, 0.000)
Al (0.500, 0.500, 0.500)
S (0.242, 0.258, 0.442)
S (0.197, 0.762, 0.980)
Pm (0.000, 0.500, 0.000)
Tl (0.000, 0.000, 0.500)
Pm (0.000, 0.500, 0.500)
Tl (0.500, 0.000, 0.500)
S (0.262, 0.697, 0.480)
Tl (0.500, 0.000, 0.000)
S (0.738, 0.303, 0.520)

(6)
Computed, not measured: a relaxed PmTmAl2S6 crystal at the PBE-GGA level of DFT.

**Fermi-level density of states**: 0.00 states/eV per atom
**Formation energy without anion corrections**: -1.46 eV per atom
**ρ**: 4.462 g/cm3
**Total magnetic moment**: 0.0 Bohr magnetons per cell

a = 6.595 Å, b = 6.595 Å, c = 6.716 Å
α = 89.99°, β = 119.36°, γ = 120.01°
Fractional positions:
S (0.532, 0.959, 0.665)
Tm (0.017, 0.008, 0.010)
S (0.736, 0.665, 0.163)
S (0.107, 0.441, 0.163)
Al (0.592, 0.795, 0.374)
Al (0.601, 0.300, 0.887)
S (0.512, 0.070, 0.163)
Pm (0.042, 0.520, 0.548)
S (0.720, 0.571, 0.665)
S (0.108, 0.147, 0.665)

(7)
Computed, not measured: a relaxed PmTm2AlS6 crystal at the PBE-GGA level of DFT.

**Fermi-level density of states**: 0.00 states/eV per atom
**Formation energy without anion corrections**: -1.73 eV per atom
**ρ**: 4.978 g/cm3
**Total magnetic moment**: 0.0 Bohr magnetons per cell

a = 6.721 Å, b = 6.721 Å, c = 7.137 Å
α = 61.90°, β = 61.90°, γ = 59.99°
Fractional positions:
S (0.698, 0.132, 0.766)
S (0.224, 0.950, 0.242)
S (0.132, 0.404, 0.766)
Tm (0.522, 0.522, 0.435)
S (0.404, 0.698, 0.766)
S (0.950, 0.584, 0.242)
Al (0.322, 0.322, 0.035)
S (0.584, 0.224, 0.242)
Pm (0.812, 0.812, 0.565)
Tm (0.015, 0.015, 0.956)

(8)
Computed, not measured: a relaxed PmY2AlS6 crystal at the PBE-GGA level of DFT.

**Fermi-level density of states**: 0.00 states/eV per atom
**Formation energy without anion corrections**: -1.73 eV per atom
**ρ**: 3.764 g/cm3
**Total magnetic moment**: 0.0 Bohr magnetons per cell

a = 6.783 Å, b = 6.782 Å, c = 7.169 Å
α = 61.75°, β = 61.76°, γ = 59.99°
Fractional positions:
S (0.127, 0.414, 0.769)
S (0.414, 0.690, 0.769)
S (0.690, 0.126, 0.769)
S (0.581, 0.218, 0.244)
S (0.957, 0.581, 0.244)
Pm (0.813, 0.813, 0.561)
Y (0.523, 0.523, 0.430)
Y (0.018, 0.018, 0.947)
S (0.218, 0.957, 0.244)
Al (0.321, 0.321, 0.036)